# 1
Sn3O2F2, single point on PBEsol structure, DFT meta-GGA SCAN; density = 5.06 g cm⁻³; formation energy without anion corrections = -1.696 eV per atom; total moment = 0.00 μB/f.u.; VASP energy = -19.883 eV per atom; symmetry = Pnma (62)
1.0
5.345 0.000 0.000
0.000 8.794 0.000
0.000 0.000 11.890
O Sn F
8 12 8
Direct
0.003 0.600 0.584
0.503 0.400 0.416
0.003 0.900 0.084
0.997 0.100 0.916
0.497 0.600 0.584
0.997 0.400 0.416
0.503 0.100 0.916
0.497 0.900 0.084
0.250 0.801 0.589
0.750 0.875 0.227
0.750 0.900 0.932
0.750 0.301 0.911
0.250 0.699 0.089
0.750 0.600 0.432
0.250 0.125 0.773
0.750 0.199 0.411
0.750 0.625 0.727
0.250 0.375 0.273
0.250 0.400 0.568
0.250 0.100 0.068
0.250 0.763 0.761
0.750 0.237 0.239
0.250 0.348 0.835
0.250 0.737 0.261
0.750 0.263 0.739
0.750 0.652 0.165
0.250 0.152 0.335
0.750 0.848 0.665

# 2
SrSnO2F, single point on PBEsol structure, DFT meta-GGA SCAN; density = 5.38 g cm⁻³; formation energy without anion corrections = -2.225 eV per atom; total moment = 0.00 μB/f.u.; VASP energy = -17.065 eV per atom; symmetry = P4/mmm (123)
1.0
4.269 0.000 0.000
0.000 4.269 0.000
0.000 0.000 4.361
O F Sr Sn
2 1 1 1
Direct
0.000 0.500 0.000
0.500 0.000 0.000
0.000 0.000 0.500
0.500 0.500 0.500
0.000 0.000 0.000

# 3
TiSnO2F, single point on PBEsol structure, DFT meta-GGA SCAN; density = 5.75 g cm⁻³; formation energy without anion corrections = -2.278 eV per atom; total moment = 0.86 μB/f.u.; VASP energy = -15.868 eV per atom; symmetry = P4/mmm (123)
1.0
3.937 0.000 0.000
0.000 3.937 0.000
0.000 0.000 4.057
F Ti O Sn
1 1 2 1
Direct
0.000 0.000 0.500
0.000 0.000 0.000
0.000 0.500 0.000
0.500 0.000 0.000
0.500 0.500 0.500

# 4
SnWO2F, single point on PBEsol structure, DFT meta-GGA SCAN; density = 8.56 g cm⁻³; formation energy without anion corrections = -1.226 eV per atom; total moment = 0.00 μB/f.u.; VASP energy = -25.548 eV per atom; symmetry = P4/mmm (123)
1.0
3.898 0.000 0.000
0.000 3.898 0.000
0.000 0.000 4.511
F O Sn W
1 2 1 1
Direct
0.000 0.000 0.500
0.500 0.000 0.000
0.000 0.500 0.000
0.500 0.500 0.500
0.000 0.000 0.000

# 5
SnWOF2, single point on PBEsol structure, DFT meta-GGA SCAN; density = 8.26 g cm⁻³; formation energy without anion corrections = -1.037 eV per atom; total moment = 0.00 μB/f.u.; VASP energy = -24.821 eV per atom; symmetry = P4/mmm (123)
1.0
3.834 0.000 0.000
0.000 4.324 0.000
0.000 0.000 4.324
Sn F W O
1 2 1 1
Direct
0.500 0.500 0.500
0.000 0.000 0.500
0.000 0.500 0.000
0.000 0.000 0.000
0.500 0.000 0.000

# 6
YSnO2F, single point on PBEsol structure, DFT meta-GGA SCAN; density = 5.59 g cm⁻³; formation energy without anion corrections = -1.661 eV per atom; total moment = 0.85 μB/f.u.; VASP energy = -17.615 eV per atom; symmetry = P4/mmm (123)
1.0
-3.170 -2.627 -0.960
2.788 -3.084 -0.764
-0.230 -1.228 4.116
Y O Sn F
1 2 1 1
Direct
0.500 0.500 0.500
0.000 0.500 0.000
0.500 0.000 0.000
0.000 0.000 0.000
0.000 0.000 0.500

# 7
SrOF3, single point on PBEsol structure, DFT meta-GGA SCAN; density = 2.55 g cm⁻³; formation energy without anion corrections = -1.669 eV per atom; total moment = 3.00 μB/f.u.; VASP energy = -9.494 eV per atom; symmetry = Pm-3m (221)
1.0
4.710 0.000 0.000
0.000 4.710 0.000
0.000 0.000 4.710
O Sr F
1 1 3
Direct
0.000 0.000 0.000
0.500 0.500 0.500
0.500 0.000 0.500
0.000 0.500 0.500
0.500 0.500 0.000

# 8
SrOF2, single point on PBEsol structure, DFT meta-GGA SCAN; density = 4.60 g cm⁻³; formation energy without anion corrections = -2.364 eV per atom; total moment = 2.00 μB/f.u.; VASP energy = -11.261 eV per atom; symmetry = Fm-3m (225)
1.0
-2.640 -2.715 1.735
0.936 -4.058 0.074
0.980 -1.846 3.603
F O Sr
2 1 1
Direct
0.750 0.750 0.750
0.250 0.250 0.250
0.000 0.000 0.000
0.500 0.500 0.500